A relaxed NpInCoO6 crystal, computed with GGA+U.

Values from the calculation:
DFT total energy = -131.91 eV per cell
N(E_F) = 0.813 states/eV per atom

Geometry as POSCAR:
```
NpInCoO6
1.0
5.4025 0.0000 0.0000
-2.7013 4.6787 0.0000
0.0000 0.0000 8.9625
Np In Co O
2 2 2 12
direct
0.3333 0.6667 0.2500
0.6667 0.3333 0.7500
0.3333 0.6667 0.7500
0.6667 0.3333 0.2500
0.0000 0.0000 0.0000
0.0000 0.0000 0.5000
0.0208 0.3388 0.1252
0.0208 0.6820 0.3748
0.3180 0.3388 0.3748
0.3180 0.9792 0.1252
0.3388 0.0208 0.6252
0.3388 0.3180 0.8748
0.6612 0.6820 0.1252
0.6612 0.9792 0.3748
0.6820 0.0208 0.8748
0.6820 0.6612 0.6252
0.9792 0.3180 0.6252
0.9792 0.6612 0.8748
```